Below is a relaxed LaReAu2 crystal, with properties calculated at the PBE-GGA level.

Cell: 4.938 4.938 4.938 Å, 60.00 60.00 60.00°
Site moments in Bohr magnetons follow the coordinates.
Fractional positions:
Au: 0.250 0.250 0.250  0.05
Au: 0.000 0.000 0.000  0.14
Re: 0.750 0.750 0.750  2.03
La: 0.500 0.500 0.500  0.10

Values from the calculation:
relative energy among the computed polymorphs: 253 meV/atom
total DFT energy (no corrections): -5.57 eV per atom
ΔE_f: 413 meV/atom
space group: No. 216
total moment: 2.6 μB/cell
crystal system: cubic

Below is a relaxed MgTlV2Co crystal, with properties calculated at the PBE-GGA level.

Cell: 4.598 4.314 4.598 Å, 90.00 90.00 90.00°
Fractional positions:
Co: 0.000 0.500 0.000
Mg: 0.000 0.000 0.000
V: 0.000 0.000 0.500
V: 0.500 0.000 0.000
Tl: 0.500 0.500 0.500

Values from the calculation:
total DFT energy (no corrections): -4.28 eV per atom
ΔE_f: 1578 meV/atom
space group: No. 123
total moment: 0.0 μB/cell
crystal system: tetragonal

Below is a relaxed NdThAu3 crystal, with properties calculated at the PBE-GGA level.

Cell: 3.706 4.705 14.402 Å, 90.00 97.39 90.00°
Fractional positions:
Au: 0.320 0.750 0.641
Au: 0.620 0.750 0.240
Au: 0.380 0.250 0.760
Au: 0.680 0.250 0.359
Au: 0.476 0.250 0.951
Au: 0.524 0.750 0.049
Nd: 0.071 0.250 0.142
Nd: 0.929 0.750 0.858
Th: 0.794 0.250 0.588
Th: 0.206 0.750 0.412

Values from the calculation:
total DFT energy (no corrections): -5.11 eV per atom
ΔE_f: -710 meV/atom
space group: No. 63
total moment: 0.0 μB/cell
crystal system: orthorhombic

Below is a relaxed MgNbH crystal, with properties calculated at the PBE-GGA level.

Cell: 5.473 5.266 2.963 Å, 106.45 90.09 85.54°
Fractional positions:
Mg: 0.121 0.740 0.617
Mg: 0.879 0.260 0.383
H: 0.333 0.013 0.256
H: 0.667 0.987 0.744
Nb: 0.386 0.267 0.884
Nb: 0.614 0.733 0.116

Values from the calculation:
relative energy among the computed polymorphs: 68 meV/atom
total DFT energy (no corrections): -5.04 eV per atom
space group: No. 2
total moment: 0.0 μB/cell
crystal system: triclinic

Below is a relaxed Mg16Al12Pt crystal, with properties calculated at the PBE-GGA level.

Cell: 9.002 9.002 9.002 Å, 109.01 109.01 109.01°
Fractional positions:
Al: 0.002 0.183 0.365
Al: 0.365 0.183 0.002
Al: 0.002 0.365 0.183
Al: 0.652 0.652 0.843
Al: 0.812 0.204 0.812
Al: 0.843 0.652 0.652
Al: 0.365 0.002 0.183
Al: 0.652 0.843 0.652
Al: 0.204 0.812 0.812
Al: 0.183 0.365 0.002
Al: 0.183 0.002 0.365
Al: 0.812 0.812 0.204
Mg: 0.409 0.009 0.681
Mg: 0.571 0.310 0.571
Mg: 0.310 0.571 0.571
Mg: 0.571 0.571 0.310
Mg: 0.649 0.001 0.001
Mg: 0.409 0.681 0.009
Mg: 0.009 0.681 0.409
Mg: 0.681 0.009 0.409
Mg: 0.726 0.318 0.318
Mg: 0.001 0.649 0.001
Mg: 0.681 0.409 0.009
Mg: 0.001 0.001 0.649
Mg: 0.988 0.988 0.988
Mg: 0.009 0.409 0.681
Mg: 0.318 0.726 0.318
Mg: 0.318 0.318 0.726
Pt: 0.273 0.273 0.273

Values from the calculation:
relative energy among the computed polymorphs: 18 meV/atom
total DFT energy (no corrections): -2.72 eV per atom
ΔE_f: -85 meV/atom
space group: No. 160
total moment: 0.0 μB/cell
crystal system: trigonal

Below is a relaxed Tb2ErInC crystal, with properties calculated at the PBE-GGA level.

Cell: 4.869 4.955 4.955 Å, 90.00 90.00 90.00°
Fractional positions:
In: 0.500 0.500 0.500
C: 0.000 0.000 0.000
Tb: 0.000 0.500 0.000
Tb: 0.000 0.000 0.500
Er: 0.500 0.000 0.000

Values from the calculation:
total DFT energy (no corrections): -5.66 eV per atom
ΔE_f: -498 meV/atom
space group: No. 123
total moment: 0.0 μB/cell
crystal system: tetragonal